No. 1
# MgV2Re2

A relaxed MgV2Re2 crystal (PBE, Alexandria via LeMat-Bulk).

energy relative to the lowest polymorph listed for this composition = 0 meV per atom
E_form = 0.18 eV per atom

Cell: 7.4196 7.4196 2.8504 Å, 90.00 90.00 90.00°
Space group P4/mbm (No. 127)
One atom of each set of equivalent atoms:
Mg  0.0000  0.0000  0.0000 [2 per cell]
V  0.1424  0.3576  0.0000 [4 per cell]
Re  0.1545  0.6545  0.5000 [4 per cell]

No. 2
# MgV2Re

A relaxed MgV2Re crystal (PBE, Alexandria via LeMat-Bulk).

E_form = 0.10 eV per atom

Cell: 3.0920 3.0920 6.4621 Å, 90.00 90.00 90.00°
Space group P4/mmm (No. 123)
One atom of each set of equivalent atoms:
Mg  0.0000  0.0000  0.0000 [1 per cell]
V  0.5000  0.5000  0.2833 [2 per cell]
Re  0.0000  0.0000  0.5000 [1 per cell]

No. 3
# MgV2Re2

A relaxed MgV2Re2 crystal (PBE, Alexandria via LeMat-Bulk).

energy relative to the lowest polymorph listed for this composition = 8 meV per atom
E_form = 0.19 eV per atom

Cell: 7.4280 7.4280 2.8624 Å, 90.00 90.00 90.00°
Space group P4/mbm (No. 127)
One atom of each set of equivalent atoms:
Mg  0.0000  0.0000  0.0000 [2 per cell]
V  0.1500  0.3500  0.5000 [4 per cell]
Re  0.1464  0.6464  0.0000 [4 per cell]

No. 4
# Mg2VRe2

A relaxed Mg2VRe2 crystal (PBE, Alexandria via LeMat-Bulk).

energy relative to the lowest polymorph listed for this composition = 30 meV per atom
E_form = 0.88 eV per atom

Cell: 6.7531 6.7531 3.4073 Å, 90.00 90.00 90.00°
Space group P4/mbm (No. 127)
One atom of each set of equivalent atoms:
Mg  0.1287  0.3713  0.0000 [4 per cell]
V  0.0000  0.0000  0.0000 [2 per cell]
Re  0.1738  0.6738  0.5000 [4 per cell]

No. 5
# Mg3VRe

A relaxed Mg3VRe crystal (PBE, Alexandria via LeMat-Bulk).

energy relative to the lowest polymorph listed for this composition = 0 meV per atom
E_form = 1.33 eV per atom

Cell: 5.0175 5.0175 5.0175 Å, 90.00 90.00 90.00°
Space group Pm-3m (No. 221)
One atom of each set of equivalent atoms:
Mg  0.0000  0.0000  0.5000 [3 per cell]
V  0.5000  0.5000  0.5000 [1 per cell]
Re  0.0000  0.0000  0.0000 [1 per cell]

No. 6
# MgRe2W2

A relaxed MgRe2W2 crystal (PBE, Alexandria via LeMat-Bulk).

energy relative to the lowest polymorph listed for this composition = 255 meV per atom
E_form = 0.61 eV per atom

Cell: 4.2355 4.2355 10.9961 Å, 90.00 90.00 90.00°
Space group I4/mmm (No. 139)
One atom of each set of equivalent atoms:
Mg  0.0000  0.0000  0.0000 [2 per cell]
Re  0.0000  0.5000  0.2500 [4 per cell]
W  0.0000  0.0000  0.3770 [4 per cell]

Question: Which formula does entry 4 have?
Answer: Mg2VRe2

Question: Which of these has the highest E_form?
Answer: Mg3VRe

Question: Among the records above, which one has the lowest E_form?
Answer: MgV2Re